Entry 1:
{"formula": "MnAlMo2", "functional": "GGA-PBE", "state": "optimized geometry", "cell": [[-2.353, 0.990, 1.907], [-2.131, -0.714, -2.258], [-0.505, -5.421, 2.190]], "species": ["Mn", "Mo", "Mo", "Al"], "frac_coords": [[0.500, 0.500, 0.749], [0.000, 0.000, 0.999], [0.500, 0.500, 0.246], [0.000, 0.000, 0.507]], "spacegroup": "P4mm, No. 99", "delta_e_f_ev_per_atom": -0.052}

Entry 2:
{"formula": "Mn2Al2Mo", "functional": "GGA-PBE", "state": "optimized geometry", "cell": [[3.974, 0.000, 0.000], [0.000, 3.974, 0.000], [1.987, 1.987, 4.613]], "species": ["Mn", "Al", "Mo", "Mn", "Al"], "frac_coords": [[0.601, 0.601, 0.798], [0.250, 0.750, 0.500], [0.000, 0.000, 0.000], [0.399, 0.399, 0.202], [0.750, 0.250, 0.500]], "de_polymorph_ev_per_atom": 0.494, "spacegroup": "I4/mmm, No. 139", "delta_e_f_ev_per_atom": 0.466}

Entry 3:
{"formula": "MnAlMo2", "functional": "GGA-PBE", "state": "optimized geometry", "cell": [[8.936, 0.017, 0.010], [8.503, 2.747, 0.010], [8.503, 1.348, 2.394]], "species": ["Mo", "Mo", "Mn", "Al"], "frac_coords": [[0.004, 0.004, 0.004], [0.496, 0.496, 0.496], [0.750, 0.750, 0.750], [0.250, 0.250, 0.250]], "spacegroup": "R-3m, No. 166", "delta_e_f_ev_per_atom": 0.161}

Entry 4:
{"formula": "Mn3Al12Mo5", "functional": "GGA-PBE", "state": "optimized geometry", "cell": [[-0.488, 4.944, 11.806], [8.453, -9.620, -0.254], [3.611, 9.077, -8.284]], "species": ["Mn", "Al", "Al", "Al", "Al", "Al", "Al", "Mo", "Al", "Al", "Mo", "Al", "Al", "Mn", "Al", "Al", "Al", "Al", "Mo", "Al", "Mo", "Mo", "Al", "Al", "Mn", "Mo", "Mo", "Mn", "Al", "Mn", "Mo", "Al", "Al", "Al", "Mo", "Al", "Al", "Al", "Mn", "Mo", "Mo", "Mo", "Mo", "Al", "Al", "Mn", "Al", "Al", "Mn", "Al", "Mn", "Mo", "Al", "Al", "Al", "Al", "Al", "Al", "Mo", "Al", "Al", "Mo", "Al", "Mo", "Al", "Al", "Al", "Mn", "Al", "Mo", "Al", "Mn", "Mo", "Al", "Al", "Al", "Al", "Mo", "Al", "Mn"], "frac_coords": [[0.125, 0.875, 0.750], [0.842, 0.916, 0.270], [0.572, 0.342, 0.926], [0.584, 0.730, 0.658], [0.428, 0.770, 0.854], [0.342, 0.770, 0.416], [0.926, 0.084, 0.854], [0.500, 0.500, 0.500], [0.646, 0.072, 0.230], [0.928, 0.354, 0.270], [0.500, 0.000, 0.000], [0.658, 0.428, 0.574], [0.354, 0.426, 0.084], [0.375, 0.750, 0.625], [0.074, 0.158, 0.428], [0.416, 0.146, 0.574], [0.072, 0.426, 0.842], [0.916, 0.842, 0.770], [0.875, 0.250, 0.625], [0.354, 0.928, 0.770], [0.375, 0.125, 0.750], [0.750, 0.625, 0.375], [0.730, 0.146, 0.072], [0.158, 0.074, 0.928], [0.625, 0.250, 0.375], [0.625, 0.875, 0.250], [0.500, 0.000, 0.500], [0.875, 0.750, 0.125], [0.072, 0.646, 0.730], [0.250, 0.125, 0.375], [0.125, 0.375, 0.250], [0.926, 0.842, 0.572], [0.426, 0.354, 0.584], [0.584, 0.854, 0.426], [0.625, 0.750, 0.875], [0.074, 0.916, 0.146], [0.842, 0.926, 0.072], [0.916, 0.074, 0.646], [0.750, 0.875, 0.625], [0.250, 0.375, 0.625], [0.500, 0.500, 0.000], [0.000, 0.000, 0.500], [0.375, 0.250, 0.125], [0.084, 0.158, 0.230], [0.426, 0.072, 0.342], [0.250, 0.625, 0.875], [0.084, 0.926, 0.354], [0.416, 0.270, 0.342], [0.375, 0.625, 0.250], [0.572, 0.230, 0.146], [0.625, 0.375, 0.750], [0.125, 0.750, 0.375], [0.854, 0.584, 0.926], [0.342, 0.572, 0.426], [0.770, 0.342, 0.916], [0.928, 0.574, 0.158], [0.658, 0.230, 0.584], [0.270, 0.854, 0.928], [0.250, 0.875, 0.125], [0.574, 0.646, 0.416], [0.146, 0.730, 0.572], [0.000, 0.000, 0.000], [0.770, 0.428, 0.354], [0.000, 0.500, 0.500], [0.428, 0.658, 0.074], [0.730, 0.584, 0.158], [0.230, 0.658, 0.084], [0.125, 0.250, 0.875], [0.574, 0.928, 0.658], [0.750, 0.125, 0.875], [0.854, 0.270, 0.428], [0.750, 0.375, 0.125], [0.875, 0.625, 0.750], [0.646, 0.574, 0.916], [0.270, 0.416, 0.842], [0.230, 0.572, 0.646], [0.158, 0.084, 0.730], [0.000, 0.500, 0.000], [0.146, 0.416, 0.074], [0.875, 0.125, 0.250]], "spacegroup": "Ia-3d, No. 230", "delta_e_f_ev_per_atom": 0.914}

Entry 5:
{"formula": "MnAlMo2", "functional": "GGA-PBE", "state": "optimized geometry", "cell": [[3.297, 0.000, 0.000], [0.000, 4.174, 0.000], [0.000, 0.000, 4.272]], "species": ["Mo", "Al", "Mn", "Mo"], "frac_coords": [[0.500, 0.500, 0.000], [0.500, 0.000, 0.500], [0.000, 0.500, 0.500], [0.000, 0.000, 0.000]], "spacegroup": "Pmmm, No. 47", "delta_e_f_ev_per_atom": -0.064}

Entry 6:
{"formula": "MnAlMo2", "functional": "GGA-PBE", "state": "optimized geometry", "cell": [[-1.977, -1.341, 1.461], [-1.093, -0.984, -2.383], [4.342, -5.914, 0.451]], "species": ["Mn", "Mo", "Mo", "Al"], "frac_coords": [[0.500, 0.500, 0.750], [0.000, 0.000, 0.525], [0.000, 0.000, 0.975], [0.500, 0.500, 0.250]], "spacegroup": "P4/mmm, No. 123", "delta_e_f_ev_per_atom": 0.008}

Entry 7:
{"formula": "MnAlMo4", "functional": "GGA-PBE", "state": "optimized geometry", "cell": [[0.000, 3.672, 3.672], [3.672, 0.000, 3.672], [3.672, 3.672, 0.000]], "species": ["Mn", "Mo", "Mo", "Mo", "Al", "Mo"], "frac_coords": [[0.000, 0.000, 0.000], [0.375, 0.375, 0.874], [0.375, 0.375, 0.375], [0.375, 0.874, 0.375], [0.750, 0.750, 0.750], [0.874, 0.375, 0.375]], "spacegroup": "F-43m, No. 216", "delta_e_f_ev_per_atom": 0.340}

Entry 8:
{"formula": "MnAlMo2", "functional": "GGA-PBE", "state": "optimized geometry", "cell": [[-2.601, -0.320, -0.445], [0.663, -3.995, -1.005], [-0.691, -1.382, 5.036]], "species": ["Mo", "Mo", "Mn", "Al"], "frac_coords": [[0.000, 0.000, 0.500], [0.000, 0.000, 0.000], [0.500, 0.500, 0.750], [0.500, 0.500, 0.250]], "spacegroup": "Pmmm, No. 47", "delta_e_f_ev_per_atom": 0.001}

Entry 9:
{"formula": "MnAlMo2", "functional": "GGA-PBE", "state": "optimized geometry", "cell": [[-0.250, 1.848, 1.948], [-2.134, -1.625, 0.281], [4.382, -4.859, 5.170]], "species": ["Mo", "Mn", "Al", "Mo"], "frac_coords": [[0.000, 0.000, 0.992], [0.500, 0.500, 0.750], [0.500, 0.500, 0.250], [0.000, 0.000, 0.508]], "spacegroup": "Cmmm, No. 65", "delta_e_f_ev_per_atom": -0.002}

Entry 10:
{"formula": "Mn2Al2Mo", "functional": "GGA-PBE", "state": "optimized geometry", "cell": [[-0.966, 2.525, -1.242], [-1.110, -1.519, -2.225], [-7.703, -1.493, 2.955]], "species": ["Al", "Al", "Mo", "Mn", "Mn"], "frac_coords": [[0.000, 0.177, 0.647], [0.000, 0.823, 0.353], [0.000, 0.000, 0.000], [0.500, 0.589, 0.823], [0.500, 0.411, 0.177]], "de_polymorph_ev_per_atom": 0.000, "spacegroup": "Cmmm, No. 65", "delta_e_f_ev_per_atom": -0.028}

Entry 11:
{"formula": "MnAlMo2", "functional": "GGA-PBE", "state": "optimized geometry", "cell": [[-4.268, 0.796, -2.445], [0.815, -4.647, 1.605], [-1.205, 0.580, 2.293]], "species": ["Mo", "Al", "Mo", "Mn"], "frac_coords": [[0.000, 0.000, 0.000], [0.500, 0.000, 0.500], [0.500, 0.500, 0.000], [0.000, 0.500, 0.500]], "spacegroup": "Cmmm, No. 65", "delta_e_f_ev_per_atom": 0.031}

Entry 12:
{"formula": "MnAlMo", "functional": "GGA-PBE", "state": "optimized geometry", "cell": [[-5.244, 3.287, 0.838], [-5.847, 1.532, -1.127], [-1.239, -1.212, 2.073]], "species": ["Al", "Mn", "Mo"], "frac_coords": [[0.992, 0.992, 0.008], [0.338, 0.338, 0.662], [0.670, 0.670, 0.330]], "de_polymorph_ev_per_atom": 0.178, "spacegroup": "Fmm2, No. 42", "delta_e_f_ev_per_atom": -0.034}

Entry 13:
{"formula": "Mn2AlMo", "functional": "GGA-PBE", "state": "optimized geometry", "cell": [[2.674, -0.013, 0.000], [-0.375, 2.648, 0.000], [0.000, 0.000, 7.672]], "species": ["Mo", "Mn", "Al", "Mn"], "frac_coords": [[0.500, 0.500, 0.250], [0.000, 0.000, 0.510], [0.500, 0.500, 0.750], [0.000, 0.000, 0.990]], "spacegroup": "Cmmm, No. 65", "delta_e_f_ev_per_atom": 0.001}

Entry 14:
{"formula": "MnAlMo2", "functional": "GGA-PBE", "state": "optimized geometry", "cell": [[4.334, 0.000, 0.000], [0.000, 2.691, -0.002], [0.000, 0.843, 4.982]], "species": ["Al", "Mn", "Mo", "Mo"], "frac_coords": [[0.000, 0.550, 0.502], [0.500, 0.749, 0.749], [0.000, 0.002, 0.991], [0.500, 0.200, 0.259]], "spacegroup": "Pm, No. 6", "delta_e_f_ev_per_atom": -0.042}

Entry 15:
{"formula": "Mn2AlMo", "functional": "GGA-PBE", "state": "optimized geometry", "cell": [[4.910, 0.003, -0.044], [-2.301, 4.377, 0.059], [0.536, 0.677, 2.487]], "species": ["Mn", "Mn", "Mo", "Al"], "frac_coords": [[0.000, 0.500, 0.500], [0.000, 0.000, 0.000], [0.500, 0.500, 0.000], [0.500, 0.000, 0.500]], "spacegroup": "C2/m, No. 12", "delta_e_f_ev_per_atom": 0.012}

Entry 16:
{"formula": "MnAlMo2", "functional": "GGA-PBE", "state": "optimized geometry", "cell": [[6.961, 0.000, 0.000], [0.000, 6.961, 0.000], [3.480, 3.480, 2.599]], "species": ["Mo", "Mo", "Mo", "Mo", "Mn", "Mn", "Al", "Al"], "frac_coords": [[0.672, 0.125, 0.250], [0.875, 0.922, 0.750], [0.078, 0.625, 0.250], [0.375, 0.328, 0.750], [0.750, 0.250, 0.500], [0.000, 0.000, 0.000], [0.500, 0.500, 0.000], [0.250, 0.750, 0.500]], "spacegroup": "I-42d, No. 122", "delta_e_f_ev_per_atom": 0.473}

Entry 17:
{"formula": "Mn2AlMo", "functional": "GGA-PBE", "state": "optimized geometry", "cell": [[-3.524, -5.149, -2.238], [5.121, -4.031, 1.209], [-0.101, -5.015, 1.880]], "species": ["Mo", "Mo", "Al", "Mn", "Mn", "Mn", "Mn", "Al"], "frac_coords": [[0.750, 0.250, 0.500], [0.000, 0.000, 0.000], [0.250, 0.750, 0.500], [0.375, 0.355, 0.750], [0.645, 0.125, 0.250], [0.105, 0.625, 0.250], [0.875, 0.895, 0.750], [0.500, 0.500, 0.000]], "spacegroup": "I-42d, No. 122", "delta_e_f_ev_per_atom": 0.650}

Entry 18:
{"formula": "MnAlMo3", "functional": "GGA-PBE", "state": "optimized geometry", "cell": [[4.461, 0.000, 0.000], [0.000, 4.461, 0.000], [0.000, 0.000, 4.461]], "species": ["Al", "Mo", "Mn", "Mo", "Mo"], "frac_coords": [[0.500, 0.500, 0.500], [0.500, 0.000, 0.000], [0.000, 0.000, 0.000], [0.000, 0.000, 0.500], [0.000, 0.500, 0.000]], "spacegroup": "Pm-3m, No. 221", "delta_e_f_ev_per_atom": 0.982}

Entry 19:
{"formula": "Mn4AlMo", "functional": "GGA-PBE", "state": "optimized geometry", "cell": [[-1.598, -4.093, -1.717], [1.481, -1.532, -4.209], [2.878, -3.727, -0.275]], "species": ["Mn", "Al", "Mn", "Mo", "Mn", "Mn"], "frac_coords": [[0.626, 0.123, 0.626], [0.000, 0.000, 0.000], [0.123, 0.626, 0.626], [0.250, 0.250, 0.250], [0.626, 0.626, 0.123], [0.626, 0.626, 0.626]], "spacegroup": "F-43m, No. 216", "delta_e_f_ev_per_atom": -0.107}

Entry 20:
{"formula": "MnAlMo", "functional": "GGA-PBE", "state": "optimized geometry", "cell": [[-1.172, -3.877, 1.155], [2.542, 0.531, -3.316], [2.158, -0.168, 1.627]], "species": ["Al", "Mn", "Mo"], "frac_coords": [[0.000, 0.000, 0.039], [0.333, 0.667, 0.356], [0.667, 0.333, 0.605]], "de_polymorph_ev_per_atom": 0.070, "spacegroup": "P3m1, No. 156", "delta_e_f_ev_per_atom": -0.141}